Record 1
Here is a relaxed FeCu2Tc crystal from Alexandria. Energies are from PBE.

* volume: 12.95 A^3/atom
* energy above the lowest structure with this stoichiometry: 208.1 meV/atom
* total moment: 3.205 Bohr magnetons per cell

Lattice parameters (Å, degrees): 4.5124 4.5124 2.5437 90.00 90.00 90.00
Fractional positions:
Fe: 0.0000 0.0000 0.0000
Cu: 0.0000 0.5000 0.5000
Cu: 0.5000 0.0000 0.5000
Tc: 0.5000 0.5000 0.0000

---

Record 2
Here is a relaxed Hf3Np4TiAs8 crystal from Alexandria. Energies are from PBE.

* volume: 21.68 A^3/atom
* calculated total energy: -8.76 eV per atom
* total moment: 7.989 Bohr magnetons per cell

Lattice parameters (Å, degrees): 7.8776 7.8776 7.8776 60.15 60.15 60.15
Fractional positions:
Hf: 0.0000 0.5000 0.5000
Hf: 0.5000 0.0000 0.5000
Hf: 0.5000 0.5000 0.0000
Np: 0.0000 0.0000 0.5000
Np: 0.0000 0.5000 0.0000
Np: 0.5000 0.0000 0.0000
Np: 0.5000 0.5000 0.5000
Ti: 0.0000 0.0000 0.0000
As: 0.2404 0.2404 0.7481
As: 0.2404 0.7481 0.2404
As: 0.2519 0.7596 0.7596
As: 0.2556 0.2556 0.2556
As: 0.7444 0.7444 0.7444
As: 0.7481 0.2404 0.2404
As: 0.7596 0.2519 0.7596
As: 0.7596 0.7596 0.2519

---

Record 3
Here is a relaxed Sr2ZrTl crystal from Alexandria. Energies are from PBE.

* volume: 32.54 A^3/atom
* energy above the lowest structure with this stoichiometry: 107.3 meV/atom
* total moment: 0.000 Bohr magnetons per cell

Lattice parameters (Å, degrees): 3.6194 5.2339 6.8720 90.00 90.00 90.00
Fractional positions:
Sr: 0.0000 0.0000 0.2472
Sr: 0.0000 0.0000 0.7528
Zr: 0.5000 0.5000 0.5000
Tl: 0.5000 0.5000 0.0000